Below is Mg4ZnRh2 after structural relaxation, with properties calculated at the GGA-PBE level.

Cell lengths 4.415, 4.415, 6.336 Å; angles 90.00, 90.00, 90.00 degrees
Positions (direct):
Mg 0.000 0.500 0.264
Mg 0.000 0.500 0.736
Mg 0.500 0.000 0.264
Mg 0.500 0.000 0.736
Zn 0.500 0.500 0.000
Rh 0.500 0.500 0.500
Rh 0.000 0.000 0.000

Summary:
Formation energy from the elements ... -2.1 eV per formula unit
Symmetry ... No. 123
Excess energy over the best structure of this formula in the dataset ... 0 meV/atom
Total moment ... 0.00 Bohr magnetons per cell
ρ ... 5.0 g cm⁻³
Crystal system ... tetragonal